First-principles (GGA-PBE) data for LaTaCu2 after structural relaxation, as listed in Alexandria.

Cell lengths 3.023, 4.899, 9.946 Å; angles 90.00, 90.00, 90.00 degrees
Space group Imm2 (No. 44)
One atom of each set of equivalent atoms:
La1 0.000 0.000 0.000 [2 per cell]
Ta1 0.000 0.500 0.216 [2 per cell]
Cu1 0.000 0.000 0.468 [2 per cell]
Cu2 0.000 0.500 0.768 [2 per cell]

Summary:
The theoretical density is 10077 kg/m3. As for the crystal system: orthorhombic. The energy relative to the elements is 1.36 eV per formula unit. The total energy is -5.90 eV/atom. Its distance to the lowest polymorph of the same formula is 0.202 eV/atom.

=====

First-principles (GGA-PBE) data for La2TaCu after structural relaxation, as listed in Alexandria.

Cell lengths 3.359, 3.359, 8.955 Å; angles 90.00, 90.00, 90.00 degrees
Space group P4mm (No. 99)
One atom of each set of equivalent atoms:
La1 0.000 0.000 0.000 [1 per cell]
La2 0.500 0.500 0.377 [1 per cell]
Ta1 0.000 0.000 0.630 [1 per cell]
Cu1 0.500 0.500 0.765 [1 per cell]

Summary:
The theoretical density is 8582 kg/m3. As for the crystal system: tetragonal. The energy relative to the elements is 0.85 eV per formula unit. The total energy is -6.24 eV/atom. Its distance to the lowest polymorph of the same formula is 0.000 eV/atom.

=====

First-principles (GGA-PBE) data for LaTa3Cu after structural relaxation, as listed in Alexandria.

Cell lengths 4.822, 4.822, 4.822 Å; angles 90.00, 90.00, 90.00 degrees
Space group Pm-3m (No. 221)
One atom of each set of equivalent atoms:
La1 0.000 0.000 0.000 [1 per cell]
Ta1 0.000 0.500 0.500 [3 per cell]
Cu1 0.500 0.500 0.500 [1 per cell]

Summary:
The theoretical density is 11041 kg/m3. As for the crystal system: cubic. The energy relative to the elements is 5.45 eV per formula unit. The total energy is -7.83 eV/atom. Its distance to the lowest polymorph of the same formula is 0.000 eV/atom.

=====

First-principles (GGA-PBE) data for LaTaCu2 after structural relaxation, as listed in Alexandria.

Cell lengths 6.774, 6.774, 6.774 Å; angles 90.00, 90.00, 90.00 degrees
Space group Fm-3m (No. 225)
One atom of each set of equivalent atoms:
La1 0.000 0.000 0.000 [4 per cell]
Ta1 0.000 0.000 0.500 [4 per cell]
Cu1 0.250 0.250 0.250 [8 per cell]

Summary:
The theoretical density is 9552 kg/m3. As for the crystal system: cubic. The energy relative to the elements is 1.50 eV per formula unit. The total energy is -5.87 eV/atom. Its distance to the lowest polymorph of the same formula is 0.238 eV/atom.

=====

First-principles (GGA-PBE) data for La2TaCu after structural relaxation, as listed in Alexandria.

Cell lengths 3.4138, 3.4138, 29.4887 Å; angles 90.00, 90.00, 120.00 degrees
Space group R3m (No. 160, hexagonal axes)
One atom of each set of equivalent atoms:
La1 0.0000 0.0000 0.0000 [3 per cell]
La2 0.0000 0.0000 0.2252 [3 per cell]
Ta1 0.0000 0.0000 0.7530 [3 per cell]
Cu1 0.0000 0.0000 0.4782 [3 per cell]

Summary:
The theoretical density is 8742 kg/m3. As for the crystal system: trigonal. The energy relative to the elements is 1.69 eV per formula unit. The total energy is -6.03 eV/atom. Its distance to the lowest polymorph of the same formula is 0.208 eV/atom.

=====

First-principles (GGA-PBE) data for LaTaCu2 after structural relaxation, as listed in Alexandria.

Cell lengths 6.179, 8.015, 2.946 Å; angles 90.00, 90.00, 90.00 degrees
Space group Cmmm (No. 65)
One atom of each set of equivalent atoms:
La1 0.000 0.000 0.000 [2 per cell]
Ta1 0.000 0.500 0.000 [2 per cell]
Cu1 0.250 0.250 0.500 [4 per cell]

Summary:
The theoretical density is 10175 kg/m3. As for the crystal system: orthorhombic. The energy relative to the elements is 1.17 eV per formula unit. The total energy is -5.95 eV/atom. Its distance to the lowest polymorph of the same formula is 0.155 eV/atom.

=====

First-principles (GGA-PBE) data for LaTaCu2 after structural relaxation, as listed in Alexandria.

Cell lengths 10.599, 2.912, 5.044 Å; angles 90.00, 109.83, 90.00 degrees
Space group Cm (No. 8)
One atom of each set of equivalent atoms:
La1 0.000 0.000 0.000 [2 per cell]
Ta1 0.289 0.500 0.383 [2 per cell]
Cu1 0.047 0.500 0.522 [2 per cell]
Cu2 0.238 0.000 0.831 [2 per cell]

Summary:
The theoretical density is 10135 kg/m3. As for the crystal system: monoclinic. The energy relative to the elements is 1.29 eV per formula unit. The total energy is -5.92 eV/atom. Its distance to the lowest polymorph of the same formula is 0.183 eV/atom.

=====

First-principles (GGA-PBE) data for La2TaCu after structural relaxation, as listed in Alexandria.

Cell lengths 10.168, 3.316, 5.876 Å; angles 90.00, 102.01, 90.00 degrees
Space group C2/m (No. 12)
One atom of each set of equivalent atoms:
La1 0.236 0.000 0.233 [4 per cell]
Ta1 0.000 0.000 0.500 [2 per cell]
Cu1 0.000 0.500 0.000 [2 per cell]

Summary:
The theoretical density is 8950 kg/m3. As for the crystal system: monoclinic. The energy relative to the elements is 2.25 eV per formula unit. The total energy is -5.89 eV/atom. Its distance to the lowest polymorph of the same formula is 0.349 eV/atom.

=====

First-principles (GGA-PBE) data for LaTa3Cu after structural relaxation, as listed in Alexandria.

Cell lengths 4.869, 4.869, 4.869 Å; angles 90.00, 90.00, 90.00 degrees
Space group Pm-3m (No. 221)
One atom of each set of equivalent atoms:
La1 0.000 0.000 0.000 [1 per cell]
Ta1 0.000 0.000 0.500 [3 per cell]
Cu1 0.500 0.500 0.500 [1 per cell]

Summary:
The theoretical density is 10718 kg/m3. As for the crystal system: cubic. The energy relative to the elements is 11.96 eV per formula unit. The total energy is -6.52 eV/atom. Its distance to the lowest polymorph of the same formula is 1.302 eV/atom.

=====

First-principles (GGA-PBE) data for LaTaCu2 after structural relaxation, as listed in Alexandria.

Cell lengths 3.197, 4.175, 6.024 Å; angles 90.00, 105.34, 90.00 degrees
Space group Pm (No. 6)
One atom of each set of equivalent atoms:
La1 0.000 0.000 0.000 [1 per cell]
Ta1 0.696 0.500 0.391 [1 per cell]
Cu1 0.264 0.000 0.523 [1 per cell]
Cu2 0.382 0.500 0.765 [1 per cell]

Summary:
The theoretical density is 9571 kg/m3. As for the crystal system: monoclinic. The energy relative to the elements is 0.95 eV per formula unit. The total energy is -6.01 eV/atom. Its distance to the lowest polymorph of the same formula is 0.099 eV/atom.

=====

First-principles (GGA-PBE) data for La2TaCu after structural relaxation, as listed in Alexandria.

Cell lengths 3.408, 5.275, 11.113 Å; angles 90.00, 90.00, 90.00 degrees
Space group Imm2 (No. 44)
One atom of each set of equivalent atoms:
La1 0.000 0.000 0.000 [2 per cell]
La2 0.000 0.500 0.203 [2 per cell]
Ta1 0.000 0.000 0.426 [2 per cell]
Cu1 0.000 0.500 0.753 [2 per cell]

Summary:
The theoretical density is 8683 kg/m3. As for the crystal system: orthorhombic. The energy relative to the elements is 0.98 eV per formula unit. The total energy is -6.21 eV/atom. Its distance to the lowest polymorph of the same formula is 0.031 eV/atom.

=====

First-principles (GGA-PBE) data for LaTaCu2 after structural relaxation, as listed in Alexandria.

Cell lengths 4.880, 4.880, 3.148 Å; angles 90.00, 90.00, 90.00 degrees
Space group P4/mmm (No. 123)
One atom of each set of equivalent atoms:
La1 0.000 0.000 0.000 [1 per cell]
Ta1 0.500 0.500 0.000 [1 per cell]
Cu1 0.000 0.500 0.500 [2 per cell]

Summary:
The theoretical density is 9897 kg/m3. As for the crystal system: tetragonal. The energy relative to the elements is 1.24 eV per formula unit. The total energy is -5.93 eV/atom. Its distance to the lowest polymorph of the same formula is 0.173 eV/atom.